Compound: Tl3FeNi2F9
Source: the Alexandria database
Functional: PBE with a Hubbard U
Structure: optimized geometry

Cell: 5.922 5.922 7.272 Å, 90.00 90.00 120.00°
Fractional positions:
F: 0.831 0.662 0.670
F: 0.831 0.169 0.670
F: 0.000 0.500 0.000
F: 0.500 0.000 0.000
F: 0.500 0.500 0.000
F: 0.169 0.338 0.330
F: 0.338 0.169 0.670
F: 0.662 0.831 0.330
F: 0.169 0.831 0.330
Tl: 0.000 0.000 0.000
Tl: 0.333 0.667 0.672
Tl: 0.667 0.333 0.328
Ni: 0.333 0.667 0.164
Ni: 0.667 0.333 0.836
Fe: 0.000 0.000 0.500

The calculation puts the total DFT energy (no corrections) at -4.292 eV/atom.